No. 1
A plane-wave DFT calculation with PBE-GGA was carried out for a relaxed structure of Ac2Sm3Hg2.

- space-group type = C2/m (12)
- energy of formation from the pure elements (eV/atom) = -0.21
- relative energy among the computed polymorphs (eV per formula unit) = 0.00

Structure (CIF):
```
data_Ac2Sm3Hg2
_chemical_formula_sum 'Ac2 Sm3 Hg2'
_cell_length_a 6.744
_cell_length_b 6.744
_cell_length_c 8.640
_cell_angle_alpha 114.52
_cell_angle_beta 114.52
_cell_angle_gamma 43.19
_symmetry_space_group_name_H-M 'P 1'
_symmetry_Int_Tables_number 1
_symmetry_space_group_name_Hall 'P 1'
loop_
_atom_site_label
_atom_site_fract_x
_atom_site_fract_y
_atom_site_fract_z
_atom_site_occupancy
Ac1 0.136 0.136 0.289 1
Ac2 0.864 0.864 0.711 1
Sm1 0.368 0.368 0.040 1
Sm2 0.500 0.500 0.500 1
Sm3 0.632 0.632 0.960 1
Hg1 0.144 0.144 0.703 1
Hg2 0.856 0.856 0.297 1
```


No. 2
A plane-wave DFT calculation with PBE-GGA was carried out for a relaxed structure of Ac2Sm2Hg.

- space-group type = I4/mmm (139)
- energy of formation from the pure elements (eV/atom) = -0.16

Structure (CIF):
```
data_Ac2Sm2Hg
_chemical_formula_sum 'Ac2 Sm2 Hg1'
_cell_length_a 12.137
_cell_length_b 12.137
_cell_length_c 12.137
_cell_angle_alpha 161.46
_cell_angle_beta 161.46
_cell_angle_gamma 26.33
_symmetry_space_group_name_H-M 'P 1'
_symmetry_Int_Tables_number 1
_symmetry_space_group_name_Hall 'P 1'
loop_
_atom_site_label
_atom_site_fract_x
_atom_site_fract_y
_atom_site_fract_z
_atom_site_occupancy
Ac1 0.089 0.089 0.000 1
Ac2 0.911 0.911 0.000 1
Sm1 0.299 0.299 0.000 1
Sm2 0.701 0.701 0.000 1
Hg1 0.500 0.500 0.000 1
```


No. 3
A plane-wave DFT calculation with PBE-GGA was carried out for a relaxed structure of AcSm5Hg4.

- space-group type = P4/mmm (123)
- energy of formation from the pure elements (eV/atom) = -0.37

Structure (CIF):
```
data_AcSm5Hg4
_chemical_formula_sum 'Ac1 Sm5 Hg4'
_cell_length_a 3.810
_cell_length_b 3.810
_cell_length_c 20.341
_cell_angle_alpha 90.00
_cell_angle_beta 90.00
_cell_angle_gamma 90.00
_symmetry_space_group_name_H-M 'P 1'
_symmetry_Int_Tables_number 1
_symmetry_space_group_name_Hall 'P 1'
loop_
_atom_site_label
_atom_site_fract_x
_atom_site_fract_y
_atom_site_fract_z
_atom_site_occupancy
Ac1 0.000 0.000 0.000 1
Sm1 0.500 0.500 0.131 1
Sm2 0.500 0.500 0.316 1
Sm3 0.500 0.500 0.500 1
Sm4 0.500 0.500 0.684 1
Sm5 0.500 0.500 0.869 1
Hg1 0.000 0.000 0.221 1
Hg2 0.000 0.000 0.407 1
Hg3 0.000 0.000 0.593 1
Hg4 0.000 0.000 0.779 1
```


No. 4
A plane-wave DFT calculation with PBE-GGA was carried out for a relaxed structure of Ac3Sm2Hg.

- space-group type = Cmmm (65)
- energy of formation from the pure elements (eV/atom) = -0.14

Structure (CIF):
```
data_Ac3Sm2Hg
_chemical_formula_sum 'Ac3 Sm2 Hg1'
_cell_length_a 9.849
_cell_length_b 9.849
_cell_length_c 3.951
_cell_angle_alpha 90.00
_cell_angle_beta 90.00
_cell_angle_gamma 144.57
_symmetry_space_group_name_H-M 'P 1'
_symmetry_Int_Tables_number 1
_symmetry_space_group_name_Hall 'P 1'
loop_
_atom_site_label
_atom_site_fract_x
_atom_site_fract_y
_atom_site_fract_z
_atom_site_occupancy
Ac1 0.000 0.000 0.000 1
Ac2 0.185 0.815 0.500 1
Ac3 0.815 0.185 0.500 1
Sm1 0.363 0.637 0.000 1
Sm2 0.637 0.363 0.000 1
Hg1 0.500 0.500 0.500 1
```


No. 5
A plane-wave DFT calculation with PBE-GGA was carried out for a relaxed structure of Ac4SmHg.

- space-group type = P4/mmm (123)
- energy of formation from the pure elements (eV/atom) = 0.20
- relative energy among the computed polymorphs (eV per formula unit) = 2.01

Structure (CIF):
```
data_Ac4SmHg
_chemical_formula_sum 'Ac4 Sm1 Hg1'
_cell_length_a 5.725
_cell_length_b 5.725
_cell_length_c 8.040
_cell_angle_alpha 90.00
_cell_angle_beta 90.00
_cell_angle_gamma 90.00
_symmetry_space_group_name_H-M 'P 1'
_symmetry_Int_Tables_number 1
_symmetry_space_group_name_Hall 'P 1'
loop_
_atom_site_label
_atom_site_fract_x
_atom_site_fract_y
_atom_site_fract_z
_atom_site_occupancy
Ac1 0.000 0.500 0.242 1
Ac2 0.000 0.500 0.758 1
Ac3 0.500 0.000 0.242 1
Ac4 0.500 0.000 0.758 1
Sm1 0.000 0.000 0.500 1
Hg1 0.500 0.500 0.000 1
```


No. 6
A plane-wave DFT calculation with PBE-GGA was carried out for a relaxed structure of AcSm6Hg2.

- space-group type = C2/m (12)
- energy of formation from the pure elements (eV/atom) = -0.20
- relative energy among the computed polymorphs (eV per formula unit) = 0.00

Structure (CIF):
```
data_AcSm6Hg2
_chemical_formula_sum 'Ac1 Sm6 Hg2'
_cell_length_a 6.806
_cell_length_b 6.806
_cell_length_c 12.245
_cell_angle_alpha 107.64
_cell_angle_beta 107.64
_cell_angle_gamma 32.79
_symmetry_space_group_name_H-M 'P 1'
_symmetry_Int_Tables_number 1
_symmetry_space_group_name_Hall 'P 1'
loop_
_atom_site_label
_atom_site_fract_x
_atom_site_fract_y
_atom_site_fract_z
_atom_site_occupancy
Ac1 0.000 0.000 0.000 1
Sm1 0.015 0.015 0.339 1
Sm2 0.309 0.309 0.127 1
Sm3 0.313 0.313 0.418 1
Sm4 0.687 0.687 0.582 1
Sm5 0.691 0.691 0.873 1
Sm6 0.985 0.985 0.661 1
Hg1 0.347 0.347 0.775 1
Hg2 0.653 0.653 0.225 1
```


No. 7
A plane-wave DFT calculation with PBE-GGA was carried out for a relaxed structure of AcSm2Hg4.

- space-group type = Cmmm (65)
- energy of formation from the pure elements (eV/atom) = -0.37

Structure (CIF):
```
data_AcSm2Hg4
_chemical_formula_sum 'Ac1 Sm2 Hg4'
_cell_length_a 6.727
_cell_length_b 6.727
_cell_length_c 5.279
_cell_angle_alpha 90.00
_cell_angle_beta 90.00
_cell_angle_gamma 113.30
_symmetry_space_group_name_H-M 'P 1'
_symmetry_Int_Tables_number 1
_symmetry_space_group_name_Hall 'P 1'
loop_
_atom_site_label
_atom_site_fract_x
_atom_site_fract_y
_atom_site_fract_z
_atom_site_occupancy
Ac1 0.000 0.000 0.000 1
Sm1 0.263 0.737 0.500 1
Sm2 0.737 0.263 0.500 1
Hg1 0.000 0.500 0.000 1
Hg2 0.281 0.281 0.500 1
Hg3 0.500 0.000 0.000 1
Hg4 0.719 0.719 0.500 1
```


No. 8
A plane-wave DFT calculation with PBE-GGA was carried out for a relaxed structure of AcSmHg.

- space-group type = F-43m (216)
- energy of formation from the pure elements (eV/atom) = -0.09
- relative energy among the computed polymorphs (eV per formula unit) = 0.68

Structure (CIF):
```
data_AcSmHg
_chemical_formula_sum 'Ac1 Sm1 Hg1'
_cell_length_a 5.400
_cell_length_b 5.400
_cell_length_c 5.400
_cell_angle_alpha 60.00
_cell_angle_beta 60.00
_cell_angle_gamma 60.00
_symmetry_space_group_name_H-M 'P 1'
_symmetry_Int_Tables_number 1
_symmetry_space_group_name_Hall 'P 1'
loop_
_atom_site_label
_atom_site_fract_x
_atom_site_fract_y
_atom_site_fract_z
_atom_site_occupancy
Ac1 0.000 0.000 0.000 1
Sm1 0.500 0.500 0.500 1
Hg1 0.750 0.750 0.750 1
```